Below is Ca2RuCl at its PBEsol-relaxed geometry, with properties calculated at the SCAN level.

Properties
- Polymorph energy (0 for the lowest one): 0 meV/atom
- Density of states at the Fermi level: 0.66 states/eV/atom
- Raw total energy: -16.271 eV/atom
- Formation energy from raw total energies: -2.95 eV per formula unit

abc: 3.301 3.301 7.591
angles: 90.00 90.00 90.00
Space group P4/mmm (No. 123)
Inequivalent atoms, fractional coordinates:
Ca1 0.000 0.000 0.229
Ru1 0.500 0.500 0.000
Cl1 0.500 0.500 0.500